# Ac3PmS6

Ac3PmS6 after structural relaxation (PBE-GGA, Alexandria).

Lattice parameters (Å, degrees): 12.4129 12.4129 14.4554 90.00 90.00 120.00
Space group R-3 (No. 148, hexagonal axes)
Asymmetric unit:
Ac 0.0463 0.2691 0.2025 (multiplicity 18)
Pm 0.0000 0.0000 0.0000 (multiplicity 3)
Pm 0.0000 0.0000 0.5000 (multiplicity 3)
S 0.0261 0.2103 0.4022 (multiplicity 18)
S 0.0306 0.1896 0.8795 (multiplicity 18)

Properties
total magnetic moment = 0.000 Bohr magnetons per cell
E above lowest polymorph = 0.0 kJ/mol of formula units
uncorrected formation energy = -2.14 eV/atom
calculated density = 5.26 g/cm3